Density functional theory data (PBE) for crystalline Be2Co3P at its relaxed geometry.

a b c (Å): 3.7186 3.7186 4.5770
angles (deg): 90.00 90.00 120.00
With the nearest neighbours (Å) after each atom.
Space group P-3m1 (No. 164)
One atom of each set of equivalent atoms:
1 Be 0.3333 0.6667 0.1402  8 Co 2.21-2.37
2 Co 0.0000 0.0000 0.0000  6 Be 2.24, 2 P 2.29
3 Co 0.3333 0.6667 0.6582  5 Be 2.21-2.37, 3 P 2.27
4 P 0.0000 0.0000 0.5000  8 Co 2.27-2.29

## Properties
* energy relative to the elements: -503 meV per atom
* size of the total moment: 0.00 μB per cell
* D(E_F): 2.33 states/eV per cell
* E: -6.200 eV per atom